1.
Ac5Tl2N: relaxed, PBE-GGA.

Results
* space-group type: Cmcm
* E_tot: -4.38 eV/atom

Geometry as POSCAR:
```
Ac5Tl2N
1.0
5.315 0.000 0.000
-2.658 8.970 0.000
0.000 0.000 13.649
Ac Tl N
10 4 2
Cartesian
0.000 1.553 5.360
0.000 5.322 1.041
0.000 1.553 1.464
0.000 5.322 5.783
2.658 7.418 8.289
2.658 3.721 3.412
2.658 7.418 12.185
0.000 5.250 10.237
2.658 3.649 12.607
2.658 3.649 7.866
2.658 7.119 4.889
0.000 1.852 8.760
2.658 7.119 1.935
0.000 1.852 11.713
0.000 3.018 3.412
2.658 5.952 10.237
```

2.
Nb2CrHgB: relaxed, PBE-GGA.

Results
* space-group type: P4/mmm
* DFT formation energy: 0.9365 eV/atom
* E_tot: -6.41 eV/atom

Geometry as POSCAR:
```
Nb2CrHgB
1.0
-3.624 -2.850 -0.805
2.441 -3.106 0.005
-0.637 -0.493 4.610
Nb Cr B Hg
2 1 1 1
Cartesian
-1.812 -1.425 -0.403
-0.318 -0.247 2.305
0.000 0.000 0.000
1.221 -1.553 0.002
-0.910 -3.225 1.905
```

3.
Pm3GaPb: relaxed, PBE-GGA.

Results
* space-group type: Pm-3m
* DFT formation energy: -0.3869 eV/atom
* E_tot: -4.58 eV/atom

Geometry as POSCAR:
```
Pm3GaPb
1.0
-5.286 5.400 0.257
-1.622 -1.927 7.129
5.157 4.928 2.506
Pb Pm Ga
3 9 3
Cartesian
-0.064 5.164 1.382
-3.454 1.737 3.693
1.768 1.500 4.817
-0.875 4.201 4.946
-0.473 7.503 3.770
2.376 4.593 3.631
-3.252 4.847 2.419
-0.404 1.937 2.281
1.501 3.554 7.473
-1.278 0.899 6.122
-1.347 6.464 7.611
-4.126 3.809 6.261
2.579 2.464 1.253
-2.643 2.700 0.129
-0.811 -0.964 3.564
```